Density functional theory data (PBE with a Hubbard U) for a relaxed structure of Li2Fe3F8.

Unit cell a=5.6332 b=6.3809 c=8.6600 alpha=84.73 beta=78.04 gamma=88.78
Atoms (fractional coordinates):
Li  0.1444  0.3465  0.1875
Li  0.3081  0.3698  0.8606
Li  0.6919  0.6302  0.1394
Li  0.8556  0.6535  0.8125
Fe  0.2226  0.1044  0.5666
Fe  0.2433  0.8660  0.0197
Fe  0.2738  0.6258  0.4431
Fe  0.7262  0.3742  0.5569
Fe  0.7567  0.1340  0.9803
Fe  0.7774  0.8956  0.4334
F  0.0882  0.3494  0.4104
F  0.1212  0.0941  0.8439
F  0.1437  0.6372  0.9019
F  0.1574  0.9306  0.3734
F  0.3298  0.6125  0.1827
F  0.3384  0.3928  0.6325
F  0.3637  0.1599  0.0640
F  0.4129  0.8280  0.5856
F  0.5871  0.1720  0.4144
F  0.6363  0.8401  0.9360
F  0.6616  0.6072  0.3675
F  0.6702  0.3875  0.8173
F  0.8426  0.0694  0.6266
F  0.8563  0.3628  0.0981
F  0.8788  0.9059  0.1561
F  0.9118  0.6506  0.5896

Values from the calculation:
Total magnetic moment, μB/f.u.: 12.000
N(E_F), states/eV per atom: 0.00
SG: P-1, No. 2
Energy above the most stable polymorph in this dataset, kJ/mol of formula units: 50